A plane-wave DFT calculation with SCAN was carried out for Li2CuNi at its PBEsol-relaxed geometry.

## Properties
V = 50.53 Å³ per cell
DFT formation energy = 60 meV per atom

Lattice parameters (Å, degrees): 2.5315 2.5315 7.8854 90.00 90.00 90.00
Element x y z (fractional)
Li 0.5000 0.5000 0.2885
Ni 0.0000 0.0000 0.5159
Cu 0.5000 0.5000 0.7282
Li 0.0000 0.0000 0.9674